No. 1
Entry from Alexandria: a relaxed TePAu2 crystal (PBE).

Unit cell a=3.615 b=4.447 c=4.994 alpha=90.00 beta=90.00 gamma=90.00
Element x y z (fractional)
Te  0.000  0.000  0.000
P  0.500  0.500  0.000
Au  0.000  0.500  0.500
Au  0.500  0.000  0.500

* relative energy among the computed polymorphs: 369 meV per atom
* DOS at the Fermi energy: 1.82 states/eV/f.u.
* size of the total moment: 0.00 μB per formula unit
* calculated volume: 20.07 Å³/atom
* SG: Pmmm, No. 47

No. 2
Entry from Alexandria: a relaxed TaZn2Re crystal (PBE).

Unit cell a=2.696 b=2.696 c=8.956 alpha=90.00 beta=90.00 gamma=107.08
Element x y z (fractional)
Ta  0.000  0.000  0.000
Zn  0.500  0.500  0.258
Zn  0.500  0.500  0.742
Re  0.000  0.000  0.500

* relative energy among the computed polymorphs: 178 meV per atom
* DOS at the Fermi energy: 2.22 states/eV/f.u.
* size of the total moment: 0.00 μB per formula unit
* calculated volume: 15.55 Å³/atom
* formation enthalpy at 0 K: 0.8 eV/f.u.
* SG: Cmmm, No. 65

No. 3
Entry from Alexandria: a relaxed Ce3Si6IrPt2 crystal (PBE).

Unit cell a=5.832 b=5.832 c=7.744 alpha=90.00 beta=90.00 gamma=120.00
Element x y z (fractional)
Ce  0.000  0.000  0.000
Ce  0.333  0.667  0.659
Ce  0.667  0.333  0.341
Si  0.193  0.387  0.307
Si  0.193  0.807  0.307
Si  0.387  0.193  0.693
Si  0.613  0.807  0.307
Si  0.807  0.193  0.693
Si  0.807  0.613  0.693
Ir  0.000  0.000  0.500
Pt  0.333  0.667  0.042
Pt  0.667  0.333  0.958

* calculated total energy: -0.23896 hartree per atom
* DOS at the Fermi energy: 13.82 states/eV/f.u.
* size of the total moment: 1.09 μB per formula unit
* calculated volume: 19.01 Å³/atom
* SG: P-3m1, No. 164

No. 4
Entry from Alexandria: a relaxed Sm2PaCo3Ni12 crystal (PBE).

Unit cell a=6.361 b=6.361 c=6.361 alpha=82.52 beta=82.52 gamma=82.52
Element x y z (fractional)
Sm  0.210  0.210  0.210
Sm  0.790  0.790  0.790
Pa  0.500  0.500  0.500
Co  0.000  0.500  0.500
Co  0.500  0.000  0.500
Co  0.500  0.500  0.000
Ni  0.092  0.092  0.633
Ni  0.092  0.633  0.092
Ni  0.215  0.702  0.702
Ni  0.298  0.298  0.785
Ni  0.298  0.785  0.298
Ni  0.367  0.908  0.908
Ni  0.633  0.092  0.092
Ni  0.702  0.215  0.702
Ni  0.702  0.702  0.215
Ni  0.785  0.298  0.298
Ni  0.908  0.367  0.908
Ni  0.908  0.908  0.367

* DOS at the Fermi energy: 20.24 states/eV/f.u.
* size of the total moment: 5.46 μB per formula unit
* calculated volume: 13.97 Å³/atom
* formation enthalpy at 0 K: 0.4 eV/f.u.
* SG: R-3m, No. 166

No. 5
Entry from Alexandria: a relaxed BeZn3Fe crystal (PBE).

Unit cell a=4.190 b=4.190 c=4.190 alpha=90.00 beta=90.00 gamma=90.00
Element x y z (fractional)
Be  0.000  0.000  0.000
Zn  0.000  0.000  0.500
Zn  0.000  0.500  0.000
Zn  0.500  0.000  0.000
Fe  0.500  0.500  0.500

* relative energy among the computed polymorphs: 0 meV per atom
* DOS at the Fermi energy: 2.70 states/eV/f.u.
* size of the total moment: 3.11 μB per formula unit
* calculated volume: 14.71 Å³/atom
* formation enthalpy at 0 K: 2.9 eV/f.u.
* SG: Pm-3m, No. 221

No. 6
Entry from Alexandria: a relaxed Y2ZnNi4As3 crystal (PBE).

Unit cell a=4.012 b=4.012 c=9.913 alpha=90.00 beta=90.00 gamma=90.00
Element x y z (fractional)
Y  0.000  0.500  0.245
Y  0.500  0.000  0.755
Zn  0.000  0.000  0.500
Ni  0.000  0.000  0.000
Ni  0.000  0.500  0.634
Ni  0.500  0.000  0.366
Ni  0.500  0.500  0.000
As  0.000  0.500  0.866
As  0.500  0.000  0.134
As  0.500  0.500  0.500

* DOS at the Fermi energy: 5.78 states/eV/f.u.
* size of the total moment: 0.00 μB per formula unit
* calculated volume: 15.96 Å³/atom
* formation enthalpy at 0 K: -7.7 eV/f.u.
* SG: P-4m2, No. 115

No. 7
Entry from Alexandria: a relaxed InTe3Se crystal (PBE).

Unit cell a=5.551 b=5.551 c=5.551 alpha=90.00 beta=90.00 gamma=90.00
Element x y z (fractional)
In  0.000  0.000  0.000
Te  0.000  0.500  0.500
Te  0.500  0.000  0.500
Te  0.500  0.500  0.000
Se  0.500  0.500  0.500

* relative energy among the computed polymorphs: 0 meV per atom
* DOS at the Fermi energy: 5.04 states/eV/f.u.
* size of the total moment: 0.00 μB per formula unit
* calculated volume: 34.20 Å³/atom
* SG: Pm-3m, No. 221

No. 8
Entry from Alexandria: a relaxed Be3AlV crystal (PBE).

Unit cell a=4.141 b=4.141 c=4.141 alpha=90.00 beta=90.00 gamma=90.00
Element x y z (fractional)
Be  0.000  0.000  0.500
Be  0.000  0.500  0.000
Be  0.500  0.000  0.000
Al  0.000  0.000  0.000
V  0.500  0.500  0.500

* relative energy among the computed polymorphs: 0 meV per atom
* DOS at the Fermi energy: 5.75 states/eV/f.u.
* size of the total moment: 2.31 μB per formula unit
* calculated volume: 14.20 Å³/atom
* formation enthalpy at 0 K: 5.9 eV/f.u.
* SG: Pm-3m, No. 221

No. 9
Entry from Alexandria: a relaxed NiGeIr crystal (PBE).

Unit cell a=3.992 b=3.992 c=3.992 alpha=60.00 beta=60.00 gamma=60.00
Element x y z (fractional)
Ni  0.000  0.000  0.000
Ge  0.250  0.250  0.250
Ir  0.500  0.500  0.500

* DOS at the Fermi energy: 1.30 states/eV/f.u.
* size of the total moment: 0.00 μB per formula unit
* calculated volume: 14.99 Å³/atom
* formation enthalpy at 0 K: -0.5 eV/f.u.
* SG: F-43m, No. 216

No. 10
Entry from Alexandria: a relaxed ScPbS2N crystal (PBE).

Unit cell a=4.789 b=4.789 c=6.088 alpha=90.00 beta=90.00 gamma=90.00
Element x y z (fractional)
Sc  0.000  0.000  0.000
Pb  0.000  0.000  0.500
S  0.000  0.500  0.000
S  0.500  0.000  0.000
N  0.500  0.500  0.500

* relative energy among the computed polymorphs: 83 meV per atom
* DOS at the Fermi energy: 3.40 states/eV/f.u.
* size of the total moment: 2.50 μB per formula unit
* calculated volume: 27.93 Å³/atom
* SG: P4/mmm, No. 123

No. 11
Entry from Alexandria: a relaxed YNi2B crystal (PBE).

Unit cell a=5.271 b=5.271 c=5.271 alpha=40.72 beta=40.72 gamma=40.72
Element x y z (fractional)
Y  0.000  0.000  0.000
Ni  0.200  0.200  0.200
Ni  0.800  0.800  0.800
B  0.500  0.500  0.500

* DOS at the Fermi energy: 3.22 states/eV/f.u.
* size of the total moment: 0.00 μB per formula unit
* calculated volume: 14.06 Å³/atom
* formation enthalpy at 0 K: -1.2 eV/f.u.
* SG: R-3m, No. 166

No. 12
Entry from Alexandria: a relaxed PrLu2Pa crystal (PBE).

Unit cell a=3.443 b=3.443 c=9.953 alpha=90.00 beta=90.00 gamma=90.00
Element x y z (fractional)
Pr  0.000  0.000  0.000
Lu  0.500  0.500  0.272
Lu  0.500  0.500  0.728
Pa  0.000  0.000  0.500

* relative energy among the computed polymorphs: 0 meV per atom
* DOS at the Fermi energy: 7.21 states/eV/f.u.
* size of the total moment: 0.27 μB per formula unit
* calculated volume: 29.50 Å³/atom
* formation enthalpy at 0 K: 0.5 eV/f.u.
* SG: P4/mmm, No. 123